Record 1
The following is a GGA-PBE calculation of crystalline KY2Pt2 at its relaxed geometry, from the Alexandria database.

a = 4.902 Å, b = 4.902 Å, c = 11.461 Å
α = 90.00°, β = 90.00°, γ = 90.00°
Space group I4/mmm (No. 139)
Asymmetric unit:
1 K 0.000 0.000 0.000
2 Y 0.000 0.500 0.250
3 Pt 0.000 0.000 0.382

energy	-5.94	eV per atom
crystal system	tetragonal
N(E_F)	3.78	states/eV/f.u.



Record 2
The following is a GGA-PBE calculation of crystalline NdPuTlRu at its relaxed geometry, from the Alexandria database.

a = 7.320 Å, b = 7.320 Å, c = 7.320 Å
α = 90.00°, β = 90.00°, γ = 90.00°
Space group F-43m (No. 216)
Asymmetric unit:
1 Nd 0.000 0.000 0.000
2 Pu 0.000 0.000 0.500
3 Tl 0.250 0.250 0.750
4 Ru 0.250 0.250 0.250

energy	-7.65	eV per atom
crystal system	cubic
excess energy over the best structure of this formula in the dataset	207	meV/atom
N(E_F)	9.91	states/eV/f.u.



Record 3
The following is a GGA-PBE calculation of crystalline Ce3Ga4Pd2 at its relaxed geometry, from the Alexandria database.

a = 10.845 Å, b = 4.498 Å, c = 8.544 Å
α = 90.00°, β = 113.75°, γ = 90.00°
Space group C2/m (No. 12)
Asymmetric unit:
1 Ce 0.000 0.000 0.000
2 Ce 0.180 0.500 0.647
3 Ga 0.020 0.000 0.359
4 Ga 0.240 0.500 0.078
5 Pd 0.099 0.500 0.268

energy	-5.21	eV per atom
crystal system	monoclinic
N(E_F)	13.57	states/eV/f.u.



Record 4
The following is a GGA-PBE calculation of crystalline NiPbI2N at its relaxed geometry, from the Alexandria database.

a = 5.868 Å, b = 5.868 Å, c = 3.566 Å
α = 90.00°, β = 90.00°, γ = 90.00°
Space group P4/mmm (No. 123)
Asymmetric unit:
1 Ni 0.000 0.000 0.000
2 Pb 0.500 0.500 0.500
3 I 0.000 0.500 0.000
4 N 0.000 0.000 0.500

energy	-3.81	eV per atom
crystal system	tetragonal
excess energy over the best structure of this formula in the dataset	0	meV/atom
formation energy without anion corrections	376	meV per atom
N(E_F)	4.01	states/eV/f.u.



Record 5
The following is a GGA-PBE calculation of crystalline RbAg2WSe4 at its relaxed geometry, from the Alexandria database.

a = 7.117 Å, b = 7.117 Å, c = 9.334 Å
α = 90.00°, β = 90.00°, γ = 90.00°
Space group I-42m (No. 121)
Asymmetric unit:
1 Rb 0.000 0.000 0.000
2 Ag 0.000 0.500 0.250
3 W 0.000 0.000 0.500
4 Se 0.191 0.191 0.350

energy	-4.54	eV per atom
crystal system	tetragonal
formation energy without anion corrections	-342	meV per atom
N(E_F)	3.16	states/eV/f.u.



Record 6
The following is a GGA-PBE calculation of crystalline Pa2P2Pd3 at its relaxed geometry, from the Alexandria database.

a = 9.942 Å, b = 3.882 Å, c = 6.551 Å
α = 90.00°, β = 97.84°, γ = 90.00°
Space group C2/m (No. 12)
Asymmetric unit:
1 Pa 0.127 0.000 0.332
2 P 0.081 0.500 0.649
3 Pd 0.000 0.500 0.000
4 Pd 0.189 0.000 0.859

energy	-7.28	eV per atom
crystal system	monoclinic
N(E_F)	6.79	states/eV/f.u.



Record 7
The following is a GGA-PBE calculation of crystalline Pm4Dy3Er4 at its relaxed geometry, from the Alexandria database.

a = 3.534 Å, b = 11.277 Å, c = 18.271 Å
α = 90.00°, β = 90.00°, γ = 90.00°
Space group Immm (No. 71)
Asymmetric unit:
1 Pm 0.000 0.000 0.212
2 Pm 0.000 0.212 0.500
3 Dy 0.000 0.000 0.000
4 Dy 0.000 0.500 0.109
5 Er 0.000 0.251 0.328

energy	-4.47	eV per atom
crystal system	orthorhombic
excess energy over the best structure of this formula in the dataset	112	meV/atom
N(E_F)	14.66	states/eV/f.u.



Record 8
The following is a GGA-PBE calculation of crystalline Sc3Zn8Cu3 at its relaxed geometry, from the Alexandria database.

a = 4.265 Å, b = 9.178 Å, c = 11.410 Å
α = 90.00°, β = 90.00°, γ = 90.00°
Space group Immm (No. 71)
Asymmetric unit:
1 Sc 0.000 0.000 0.000
2 Sc 0.000 0.000 0.290
3 Zn 0.000 0.281 0.134
4 Zn 0.000 0.365 0.358
5 Cu 0.000 0.153 0.500
6 Cu 0.000 0.500 0.000

energy	-3.21	eV per atom
crystal system	orthorhombic
N(E_F)	8.90	states/eV/f.u.